Record 1
Compound: Dy3SiPb
Source: Alexandria via LeMat-Bulk
Functional: PBE
Structure: relaxed Values from VASP.

```
&SYSTEM
  ibrav = 0, nat = 10, ntyp = 3
/
ATOMIC_SPECIES
Si 28.09 Si.upf
Dy 162.50 Dy.upf
Pb 207.20 Pb.upf
CELL_PARAMETERS angstrom
-3.393 -2.950 0.791
3.804 -3.083 4.825
-3.387 5.565 6.226
ATOMIC_POSITIONS crystal
Si 0.250 0.250 0.601
Si 0.750 0.750 0.399
Dy 0.750 0.505 0.666
Dy 0.250 0.250 0.921
Dy 0.750 0.750 0.079
Dy 0.250 0.005 0.334
Dy 0.250 0.495 0.334
Dy 0.750 0.995 0.666
Pb 0.250 0.750 0.854
Pb 0.750 0.250 0.146
```

Results
Uncorrected formation energy = -534 meV per atom
Fermi-level density of states = 7.65 states/eV per cell
Electronic total energy = -5.122 eV per atom

Record 2
Compound: Dy4Si2Pb
Source: Alexandria via LeMat-Bulk
Functional: PBE
Structure: relaxed Values from VASP.

```
&SYSTEM
  ibrav = 0, nat = 14, ntyp = 3
/
ATOMIC_SPECIES
Dy 162.50 Dy.upf
Si 28.09 Si.upf
Pb 207.20 Pb.upf
CELL_PARAMETERS angstrom
-6.684 -4.342 1.454
1.701 -0.154 -7.920
6.197 -3.155 4.134
ATOMIC_POSITIONS crystal
Dy 0.849 0.669 0.180
Dy 0.331 0.510 0.180
Dy 0.490 0.669 0.820
Dy 0.401 0.080 0.320
Dy 0.920 0.599 0.680
Dy 0.760 0.081 0.680
Dy 0.330 0.151 0.820
Dy 0.919 0.240 0.320
Si 0.625 0.875 0.250
Si 0.125 0.375 0.750
Si 0.625 0.375 0.750
Si 0.625 0.375 0.250
Pb 0.250 0.750 0.500
Pb 0.000 0.000 0.000
```

Results
Uncorrected formation energy = -466 meV per atom
Fermi-level density of states = 8.07 states/eV per cell
Electronic total energy = -5.175 eV per atom

Record 3
Compound: Dy8SiPb2
Source: Alexandria via LeMat-Bulk
Functional: PBE
Structure: relaxed Values from VASP.

```
&SYSTEM
  ibrav = 0, nat = 11, ntyp = 3
/
ATOMIC_SPECIES
Dy 162.50 Dy.upf
Si 28.09 Si.upf
Pb 207.20 Pb.upf
CELL_PARAMETERS angstrom
5.029 0.000 0.000
0.000 6.705 0.158
-2.514 -2.611 9.383
ATOMIC_POSITIONS crystal
Dy 0.980 0.222 0.961
Dy 0.782 0.674 0.564
Dy 0.351 0.994 0.702
Dy 0.649 0.006 0.298
Dy 0.588 0.462 0.176
Dy 0.020 0.778 0.039
Dy 0.412 0.538 0.824
Dy 0.218 0.326 0.436
Si 0.500 0.000 0.000
Pb 0.181 0.763 0.362
Pb 0.819 0.237 0.638
```

Results
Uncorrected formation energy = -290 meV per atom
Fermi-level density of states = 11.47 states/eV per cell
Electronic total energy = -4.805 eV per atom

Record 4
Compound: Dy6Si2Te3Pb
Source: Alexandria via LeMat-Bulk
Functional: PBE
Structure: relaxed Values from VASP.

```
&SYSTEM
  ibrav = 0, nat = 12, ntyp = 4
/
ATOMIC_SPECIES
Dy 162.50 Dy.upf
Pb 207.20 Pb.upf
Si 28.09 Si.upf
Te 127.60 Te.upf
CELL_PARAMETERS angstrom
-0.689 4.189 -0.366
-8.607 -1.437 -0.233
2.209 -0.985 9.364
ATOMIC_POSITIONS crystal
Dy 0.989 0.746 0.979
Dy 0.011 0.254 0.021
Dy 0.332 0.890 0.663
Dy 0.325 0.434 0.650
Dy 0.668 0.110 0.337
Dy 0.675 0.566 0.350
Pb 0.500 0.000 0.000
Si 0.832 0.664 0.664
Si 0.168 0.336 0.336
Te 0.164 0.833 0.327
Te 0.836 0.167 0.673
Te 0.500 0.500 0.000
```

Results
Uncorrected formation energy = -1035 meV per atom
Fermi-level density of states = 2.37 states/eV per cell
Electronic total energy = -5.335 eV per atom

Record 5
Compound: SmDy2Pb
Source: Alexandria via LeMat-Bulk
Functional: PBE
Structure: relaxed Values from VASP.

```
&SYSTEM
  ibrav = 0, nat = 4, ntyp = 3
/
ATOMIC_SPECIES
Dy 162.50 Dy.upf
Sm 150.36 Sm.upf
Pb 207.20 Pb.upf
CELL_PARAMETERS angstrom
3.616 0.000 0.000
1.808 3.132 0.000
1.808 1.044 11.027
ATOMIC_POSITIONS crystal
Dy 0.254 0.254 0.237
Dy 0.079 0.079 0.762
Sm 0.500 0.500 0.500
Pb 0.667 0.667 0.000
```

Results
Energy of formation = -152.4 meV per atom
Fermi-level density of states = 3.80 states/eV per cell
Electronic total energy = -4.560 eV per atom

Record 6
Compound: SmDy2Pb
Source: Alexandria via LeMat-Bulk
Functional: PBE
Structure: relaxed Values from VASP.

```
&SYSTEM
  ibrav = 0, nat = 8, ntyp = 3
/
ATOMIC_SPECIES
Dy 162.50 Dy.upf
Sm 150.36 Sm.upf
Pb 207.20 Pb.upf
CELL_PARAMETERS angstrom
-0.328 3.737 2.064
-3.020 -4.715 3.614
8.160 -1.773 4.506
ATOMIC_POSITIONS crystal
Dy 0.634 0.267 0.051
Dy 0.634 0.267 0.449
Dy 0.366 0.733 0.551
Dy 0.366 0.733 0.949
Sm 0.943 0.887 0.250
Sm 0.057 0.113 0.750
Pb 0.754 0.509 0.750
Pb 0.246 0.491 0.250
```

Results
Energy of formation = -234.7 meV per atom
Fermi-level density of states = 12.12 states/eV per cell
Electronic total energy = -4.643 eV per atom